Arrangement a

A plane-wave DFT calculation with GGA-PBE was carried out for a relaxed structure of Hg2WCl.

Lattice parameters (Å, degrees): 5.953 8.892 2.964 90.00 90.00 90.00
Space group Cmmm (No. 65)
Symmetry-distinct sites (fractional):
Hg1 0.250 0.250 0.000 x4
W1 0.000 0.000 0.500 x2
Cl1 0.000 0.500 0.500 x2

=====

Arrangement b

A plane-wave DFT calculation with GGA-PBE was carried out for a relaxed structure of Hg2WCl.

Lattice parameters (Å, degrees): 6.953 6.953 6.953 90.00 90.00 90.00
Space group F-43m (No. 216)
Symmetry-distinct sites (fractional):
Hg1 0.000 0.000 0.000 x4
Hg2 0.250 0.250 0.250 x4
W1 0.250 0.250 0.750 x4
Cl1 0.000 0.000 0.500 x4

=====

Which structure is most stable? arrangement a, by 44.6 kJ/mol of atoms over the runner-up.

=====

Arrangement a

A plane-wave DFT calculation with GGA-PBE was carried out for a relaxed structure of HgW2Cl.

Lattice parameters (Å, degrees): 2.813 4.966 5.202 90.00 90.00 90.00
Space group Pmmm (No. 47)
Symmetry-distinct sites (fractional):
Hg1 0.000 0.000 0.000 x1
W1 0.000 0.500 0.500 x1
W2 0.500 0.500 0.000 x1
Cl1 0.500 0.000 0.500 x1

=====

Arrangement b

A plane-wave DFT calculation with GGA-PBE was carried out for a relaxed structure of HgW2Cl.

Lattice parameters (Å, degrees): 3.865 3.865 5.057 90.00 90.00 90.00
Space group P4/mmm (No. 123)
Symmetry-distinct sites (fractional):
Hg1 0.000 0.000 0.000 x1
W1 0.000 0.500 0.500 x2
Cl1 0.500 0.500 0.000 x1

=====

Which structure is most stable? arrangement a, by 42.1 kJ/mol of atoms over the runner-up.

=====

Arrangement a

A plane-wave DFT calculation with GGA-PBE was carried out for a relaxed structure of HgW2Cl.

Lattice parameters (Å, degrees): 2.9354 2.9354 27.2719 90.00 90.00 120.00
Space group R-3m (No. 166, hexagonal axes)
Symmetry-distinct sites (fractional):
Hg1 0.0000 0.0000 0.0000 x3
W1 0.0000 0.0000 0.2441 x6
Cl1 0.0000 0.0000 0.5000 x3

=====

Arrangement b

A plane-wave DFT calculation with GGA-PBE was carried out for a relaxed structure of HgW2Cl.

Lattice parameters (Å, degrees): 2.795 5.330 9.590 90.00 90.00 90.00
Space group Cmmm (No. 65)
Symmetry-distinct sites (fractional):
Hg1 0.000 0.000 0.000 x2
W1 0.000 0.500 0.266 x4
Cl1 0.000 0.000 0.500 x2

=====

Arrangement c

A plane-wave DFT calculation with GGA-PBE was carried out for a relaxed structure of HgW2Cl.

Lattice parameters (Å, degrees): 2.811 2.811 8.821 90.00 90.00 90.00
Space group P4/mmm (No. 123)
Symmetry-distinct sites (fractional):
Hg1 0.000 0.000 0.000 x1
W1 0.500 0.500 0.259 x2
Cl1 0.000 0.000 0.500 x1

=====

Arrangement d

A plane-wave DFT calculation with GGA-PBE was carried out for a relaxed structure of HgW2Cl.

Lattice parameters (Å, degrees): 3.341 4.975 5.134 90.00 96.74 90.00
Space group P2/m (No. 10)
Symmetry-distinct sites (fractional):
Hg1 0.000 0.000 0.000 x1
W1 0.300 0.500 0.175 x2
Cl1 0.500 0.000 0.500 x1

=====

Which structure is most stable? arrangement a, by 3.6 kJ/mol of atoms over the runner-up.